First-principles (PBEsol) data for crystalline SrSnP3 at its relaxed geometry, as listed in the Alexandria database.

a = 5.248 Å, b = 5.248 Å, c = 5.248 Å
α = 90.00°, β = 90.00°, γ = 90.00°
Fractional positions:
Sr 0.000 0.000 0.000
Sn 0.500 0.500 0.500
P 0.000 0.000 0.500
P 0.000 0.500 0.000
P 0.500 0.000 0.000

Output
Calculated volume (Å³/cell): 144.5
ΔE_f (eV/atom): 1.172
Space-group type: No. 221

---

First-principles (PBEsol) data for crystalline CdNi2Sb at its relaxed geometry, as listed in the Alexandria database.

a = 5.232 Å, b = 5.232 Å, c = 5.232 Å
α = 143.09°, β = 133.63°, γ = 60.68°
Fractional positions:
Cd 0.000 0.000 0.000
Ni 0.272 0.772 0.500
Ni 0.503 0.503 0.000
Sb 0.728 0.228 0.500

Output
Calculated volume (Å³/cell): 61.6
Electronic total energy (eV per atom): -4.446
Space-group type: No. 44

---

First-principles (PBEsol) data for crystalline K3Na3TeP6H6O24 at its relaxed geometry, as listed in the Alexandria database.

a = 12.467 Å, b = 12.467 Å, c = 12.467 Å
α = 51.63°, β = 51.63°, γ = 51.63°
Fractional positions:
K 0.128 0.750 0.372
K 0.250 0.628 0.872
K 0.372 0.128 0.750
K 0.628 0.872 0.250
K 0.750 0.372 0.128
K 0.872 0.250 0.628
Na 0.055 0.445 0.250
Na 0.250 0.055 0.445
Na 0.445 0.250 0.055
Na 0.555 0.750 0.945
Na 0.750 0.945 0.555
Na 0.945 0.555 0.750
Te 0.000 0.000 0.000
Te 0.500 0.500 0.500
P 0.005 0.160 0.312
P 0.160 0.312 0.005
P 0.188 0.340 0.495
P 0.312 0.005 0.160
P 0.340 0.495 0.188
P 0.495 0.188 0.340
P 0.505 0.812 0.660
P 0.660 0.505 0.812
P 0.688 0.995 0.840
P 0.812 0.660 0.505
P 0.840 0.688 0.995
P 0.995 0.840 0.688
H 0.083 0.214 0.790
H 0.210 0.917 0.786
H 0.214 0.790 0.083
H 0.286 0.417 0.710
H 0.290 0.714 0.583
H 0.417 0.710 0.286
H 0.583 0.290 0.714
H 0.710 0.286 0.417
H 0.714 0.583 0.290
H 0.786 0.210 0.917
H 0.790 0.083 0.214
H 0.917 0.786 0.210
O 0.013 0.279 0.144
O 0.034 0.210 0.372
O 0.106 0.367 0.633
O 0.116 0.120 0.871
O 0.120 0.871 0.116
O 0.128 0.290 0.466
O 0.129 0.884 0.880
O 0.133 0.394 0.867
O 0.133 0.867 0.606
O 0.144 0.013 0.279
O 0.210 0.372 0.034
O 0.221 0.487 0.356
O 0.279 0.144 0.013
O 0.290 0.466 0.128
O 0.356 0.221 0.487
O 0.367 0.633 0.106
O 0.367 0.894 0.633
O 0.371 0.620 0.616
O 0.372 0.034 0.210
O 0.380 0.384 0.629
O 0.384 0.629 0.380
O 0.394 0.867 0.133
O 0.466 0.128 0.290
O 0.487 0.356 0.221
O 0.513 0.644 0.779
O 0.534 0.872 0.710
O 0.606 0.133 0.867
O 0.616 0.371 0.620
O 0.620 0.616 0.371
O 0.628 0.966 0.790
O 0.629 0.380 0.384
O 0.633 0.106 0.367
O 0.633 0.367 0.894
O 0.644 0.779 0.513
O 0.710 0.534 0.872
O 0.721 0.856 0.987
O 0.779 0.513 0.644
O 0.790 0.628 0.966
O 0.856 0.987 0.721
O 0.867 0.133 0.394
O 0.867 0.606 0.133
O 0.871 0.116 0.120
O 0.872 0.710 0.534
O 0.880 0.129 0.884
O 0.884 0.880 0.129
O 0.894 0.633 0.367
O 0.966 0.790 0.628
O 0.987 0.721 0.856

Output
Energy above the lowest structure with this stoichiometry (eV/f.u.): 0.00
Calculated volume (Å³/cell): 1100.3
Space-group type: No. 167

---

First-principles (PBEsol) data for crystalline K5Ag at its relaxed geometry, as listed in the Alexandria database.

a = 9.333 Å, b = 9.333 Å, c = 6.139 Å
α = 90.00°, β = 90.00°, γ = 144.70°
Fractional positions:
K 0.000 0.000 0.000
K 0.139 0.861 0.500
K 0.346 0.654 0.000
K 0.654 0.346 0.000
K 0.861 0.139 0.500
Ag 0.500 0.500 0.500

Output
Energy above the lowest structure with this stoichiometry (eV/f.u.): 0.33
Calculated volume (Å³/cell): 308.9
ΔE_f (eV/atom): 0.133
Space-group type: No. 65

---

First-principles (PBEsol) data for crystalline K2CaAg at its relaxed geometry, as listed in the Alexandria database.

a = 3.947 Å, b = 3.947 Å, c = 10.640 Å
α = 90.00°, β = 90.00°, γ = 90.00°
Fractional positions:
K 0.000 0.000 0.186
K 0.000 0.000 0.814
Ca 0.500 0.500 0.500
Ag 0.500 0.500 0.000

Output
Energy above the lowest structure with this stoichiometry (eV/f.u.): 0.75
Calculated volume (Å³/cell): 165.8
ΔE_f (eV/atom): 0.210
Space-group type: No. 123

---

First-principles (PBEsol) data for crystalline Ta2TcSe at its relaxed geometry, as listed in the Alexandria database.

a = 4.589 Å, b = 4.589 Å, c = 3.140 Å
α = 90.00°, β = 90.00°, γ = 102.27°
Fractional positions:
Ta 0.000 0.500 0.000
Ta 0.500 0.000 0.000
Tc 0.000 0.000 0.500
Se 0.500 0.500 0.500

Output
Calculated volume (Å³/cell): 64.6
Electronic total energy (eV per atom): -10.080
Space-group type: No. 65

---

First-principles (PBEsol) data for crystalline ZnCo3B at its relaxed geometry, as listed in the Alexandria database.

a = 3.740 Å, b = 3.740 Å, c = 3.740 Å
α = 90.00°, β = 90.00°, γ = 90.00°
Fractional positions:
Zn 0.000 0.000 0.000
Co 0.000 0.500 0.500
Co 0.500 0.000 0.500
Co 0.500 0.500 0.000
B 0.500 0.500 0.500

Output
Calculated volume (Å³/cell): 52.3
ΔE_f (eV/atom): -0.016
Space-group type: No. 221

---

First-principles (PBEsol) data for crystalline Li10Mn3Cr3Ni2O16 at its relaxed geometry, as listed in the Alexandria database.

a = 5.772 Å, b = 5.908 Å, c = 9.642 Å
α = 91.68°, β = 90.56°, γ = 118.56°
Fractional positions:
Li 0.000 0.000 0.000
Li 0.003 0.592 0.004
Li 0.149 0.860 0.227
Li 0.196 0.378 0.507
Li 0.423 0.975 0.001
Li 0.488 0.550 0.730
Li 0.594 0.785 0.494
Li 0.620 0.386 0.507
Li 0.806 0.180 0.426
Li 0.818 0.218 0.924
Mn 0.479 0.035 0.726
Mn 0.640 0.849 0.228
Mn 0.643 0.361 0.228
Cr 0.145 0.354 0.230
Cr 0.984 0.036 0.728
Cr 0.984 0.542 0.729
Ni 0.139 0.849 0.473
Ni 0.473 0.514 0.975
O 0.132 0.862 0.848
O 0.143 0.368 0.845
O 0.302 0.169 0.611
O 0.304 0.705 0.615
O 0.315 0.673 0.116
O 0.324 0.203 0.113
O 0.465 0.486 0.352
O 0.473 0.979 0.356
O 0.652 0.371 0.837
O 0.654 0.898 0.840
O 0.795 0.704 0.105
O 0.817 0.219 0.112
O 0.830 0.711 0.610
O 0.837 0.216 0.614
O 0.960 0.504 0.348
O 0.974 0.026 0.338

Output
Calculated volume (Å³/cell): 288.6
Electronic total energy (eV per atom): -6.862
Space-group type: No. 1

---

First-principles (PBEsol) data for crystalline BaAgAs2F at its relaxed geometry, as listed in the Alexandria database.

a = 4.825 Å, b = 4.825 Å, c = 4.733 Å
α = 90.00°, β = 90.00°, γ = 90.00°
Fractional positions:
Ba 0.000 0.000 0.000
Ag 0.500 0.500 0.000
As 0.000 0.500 0.500
As 0.500 0.000 0.500
F 0.500 0.500 0.500

Output
Calculated volume (Å³/cell): 110.2
Electronic total energy (eV per atom): -3.920
Space-group type: No. 123

---

First-principles (PBEsol) data for crystalline RbY2F at its relaxed geometry, as listed in the Alexandria database.

a = 5.458 Å, b = 5.458 Å, c = 5.458 Å
α = 60.00°, β = 60.00°, γ = 60.00°
Fractional positions:
Rb 0.000 0.000 0.000
Y 0.250 0.250 0.250
Y 0.750 0.750 0.750
F 0.500 0.500 0.500

Output
Calculated volume (Å³/cell): 115.0
Electronic total energy (eV per atom): -3.836
Space-group type: No. 225

---

First-principles (PBEsol) data for crystalline BePt4W at its relaxed geometry, as listed in the Alexandria database.

a = 5.105 Å, b = 5.105 Å, c = 5.105 Å
α = 60.00°, β = 60.00°, γ = 60.00°
Fractional positions:
Be 0.000 0.000 0.000
Pt 0.375 0.375 0.375
Pt 0.375 0.375 0.875
Pt 0.375 0.875 0.375
Pt 0.875 0.375 0.375
W 0.750 0.750 0.750

Output
Calculated volume (Å³/cell): 94.1
ΔE_f (eV/atom): 0.443
Space-group type: No. 216

---

First-principles (PBEsol) data for crystalline MnTc2Te at its relaxed geometry, as listed in the Alexandria database.

a = 4.571 Å, b = 4.571 Å, c = 4.797 Å
α = 100.24°, β = 100.24°, γ = 38.34°
Fractional positions:
Mn 0.000 0.000 0.000
Tc 0.264 0.264 0.784
Tc 0.736 0.736 0.216
Te 0.500 0.500 0.500

Output
Calculated volume (Å³/cell): 61.1
Electronic total energy (eV per atom): -8.615
Space-group type: No. 12

---

- What is the calculated volume in the eleventh record?
  94.1 Å³/cell

---

What did the eleventh record say?
First-principles (PBEsol) data for crystalline BePt4W at its relaxed geometry, as listed in the Alexandria database.

a = 5.105 Å, b = 5.105 Å, c = 5.105 Å
α = 60.00°, β = 60.00°, γ = 60.00°
Fractional positions:
Be 0.000 0.000 0.000
Pt 0.375 0.375 0.375
Pt 0.375 0.375 0.875
Pt 0.375 0.875 0.375
Pt 0.875 0.375 0.375
W 0.750 0.750 0.750

Output
Calculated volume (Å³/cell): 94.1
ΔE_f (eV/atom): 0.443
Space-group type: No. 216